(1)
This record from Alexandria via LeMat-Bulk describes crystalline Tl2TeI2 at its relaxed geometry. The functional is PBE-GGA.

Cell lengths 4.5303, 4.5303, 10.4572 Å; angles 77.49, 77.49, 90.00 degrees
Closest atoms and distances in Å follow each position.
Fractional positions:
Tl1 0.5848 0.5848 0.8304  1 Tl 3.38, 4 Te 3.62
Te1 0.0000 0.0000 0.0000  8 Tl 3.62
I1 0.2500 0.7500 0.5000  4 I 3.20
Tl2 0.4152 0.4152 0.1696  1 Tl 3.38, 4 Te 3.62
I2 0.7500 0.2500 0.5000  4 I 3.20

Calculated values
The calculated density is 6.4 g cm⁻³. As for the total magnetic moment: 0.00 μB per cell. Its space-group type is I4/mmm (139). The uncorrected formation energy is -0.35 eV per formula unit. As for the polymorph energy (0 for the lowest one): 81 meV per atom.

(2)
This record from Alexandria via LeMat-Bulk describes crystalline HgBiAs2Se at its relaxed geometry. The functional is PBE-GGA.

Cell lengths 5.1840, 5.1840, 5.2235 Å; angles 90.00, 90.00, 90.00 degrees
Closest atoms and distances in Å follow each position.
Fractional positions:
Se1 0.0000 0.0000 0.5000  2 Hg 2.61
Hg1 0.0000 0.0000 0.0000  4 As 2.59, 2 Se 2.61
As1 0.5000 0.0000 0.0000  2 Hg 2.59
As2 0.0000 0.5000 0.0000  2 Hg 2.59
Bi1 0.5000 0.5000 0.5000  4 Se 3.67, 8 As 3.68

Calculated values
The calculated density is 7.6 g cm⁻³. As for the total magnetic moment: 0.00 μB per cell. Its space-group type is P4/mmm (123). The uncorrected formation energy is 3.89 eV per formula unit. As for the polymorph energy (0 for the lowest one): 0 meV per atom.

(3)
This record from Alexandria via LeMat-Bulk describes crystalline Li4Ce3AgSe8 at its relaxed geometry. The functional is PBE-GGA.

Cell lengths 8.2386, 8.0183, 8.2430 Å; angles 120.91, 119.98, 90.00 degrees
Closest atoms and distances in Å follow each position.
Fractional positions:
Ce1 0.5000 0.5000 0.5000  6 Se 2.88-2.92
Se1 0.2546 0.7556 0.5093  3 Li 2.82-2.87, 2 Ce 2.88, 1 Ag 2.93
Se2 0.7541 0.7628 0.5083  3 Li 2.83, 3 Ce 2.92
Se3 0.7454 0.2444 0.4907  3 Li 2.82-2.87, 2 Ce 2.88, 1 Ag 2.93
Se4 0.7460 0.2450 0.9995  3 Li 2.83-2.88, 2 Ce 2.88, 1 Ag 2.92
Ag1 0.0000 0.5000 0.0000  6 Se 2.92-2.93
Se5 0.2535 0.2450 0.9995  3 Li 2.83-2.88, 2 Ce 2.88, 1 Ag 2.92
Ce2 0.0000 0.5000 0.5000  6 Se 2.88-2.92
Se6 0.2540 0.7550 0.0005  3 Li 2.83-2.88, 2 Ce 2.88, 1 Ag 2.92
Li1 0.0000 0.0000 0.0000  6 Se 2.83-2.87
Li2 0.5000 0.0000 0.5000  6 Se 2.83-2.88
Li3 0.0000 0.0000 0.5000  6 Se 2.83-2.88
Se7 0.2459 0.2372 0.4917  3 Li 2.83, 3 Ce 2.92
Se8 0.7465 0.7550 0.0005  3 Li 2.83-2.88, 2 Ce 2.88, 1 Ag 2.92
Li4 0.5000 0.0000 0.0000  6 Se 2.82-2.83
Ce3 0.5000 0.5000 0.0000  6 Se 2.88-2.92

Calculated values
The calculated density is 5.2 g cm⁻³. As for the total magnetic moment: 1.08 μB per cell. Its space-group type is R-3m (166). The uncorrected formation energy is -21.78 eV per formula unit.

(4)
This record from Alexandria via LeMat-Bulk describes crystalline La2CdGa at its relaxed geometry. The functional is PBE-GGA.

Cell lengths 3.7899, 3.7899, 7.9372 Å; angles 90.00, 90.00, 90.00 degrees
Closest atoms and distances in Å follow each position.
Fractional positions:
La1 0.0000 0.0000 0.7682  4 Ga 3.25, 4 Cd 3.42
Cd1 0.5000 0.5000 0.5000  8 La 3.42, 4 Cd 3.79
Ga1 0.5000 0.5000 0.0000  8 La 3.25
La2 0.0000 0.0000 0.2318  4 Ga 3.25, 4 Cd 3.42

Calculated values
The calculated density is 6.7 g cm⁻³. Its energy of formation from the pure elements is -0.458 eV/atom. As for the total magnetic moment: 0.00 μB per cell. Its space-group type is P4/mmm (123).

(5)
This record from Alexandria via LeMat-Bulk describes crystalline Tm6TlPd12 at its relaxed geometry. The functional is PBE-GGA.

Cell lengths 7.2618, 7.2618, 7.2618 Å; angles 96.49, 96.49, 96.49 degrees
Closest atoms and distances in Å follow each position.
Fractional positions:
Pd1 0.7852 0.5468 0.4961  5 Pd 2.64-2.94, 2 Tm 2.73-2.75
Pd2 0.5468 0.4961 0.7852  5 Pd 2.64-2.94, 2 Tm 2.73-2.75
Pd3 0.6265 0.9578 0.8834  2 Pd 2.64-2.71, 1 Tl 2.72, 1 Tm 2.88
Tm1 0.2472 0.6835 0.8369  6 Pd 2.73-3.05
Tm2 0.6835 0.8369 0.2472  6 Pd 2.73-3.05
Pd4 0.3735 0.0422 0.1166  2 Pd 2.64-2.71, 1 Tl 2.72, 1 Tm 2.88
Pd5 0.5039 0.2148 0.4532  5 Pd 2.64-2.94, 2 Tm 2.73-2.75
Pd6 0.2148 0.4532 0.5039  5 Pd 2.64-2.94, 2 Tm 2.73-2.75
Tm3 0.1631 0.7528 0.3165  6 Pd 2.73-3.05
Tl1 0.0000 0.0000 0.0000  6 Pd 2.72
Pd7 0.4961 0.7852 0.5468  5 Pd 2.64-2.94, 2 Tm 2.73-2.75
Tm4 0.8369 0.2472 0.6835  6 Pd 2.73-3.05
Pd8 0.9578 0.8834 0.6265  2 Pd 2.64-2.71, 1 Tl 2.72, 1 Tm 2.88
Tm5 0.7528 0.3165 0.1631  6 Pd 2.73-3.05
Pd9 0.8834 0.6265 0.9578  2 Pd 2.64-2.71, 1 Tl 2.72, 1 Tm 2.88
Pd10 0.0422 0.1166 0.3735  2 Pd 2.64-2.71, 1 Tl 2.72, 1 Tm 2.88
Pd11 0.4532 0.5039 0.2148  5 Pd 2.64-2.94, 2 Tm 2.73-2.75
Pd12 0.1166 0.3735 0.0422  2 Pd 2.64-2.71, 1 Tl 2.72, 1 Tm 2.88
Tm6 0.3165 0.1631 0.7528  6 Pd 2.73-3.05

Calculated values
The calculated density is 11.0 g cm⁻³. Its energy of formation from the pure elements is -0.722 eV/atom. As for the total magnetic moment: 0.00 μB per cell. Its space-group type is R-3 (148).

(6)
This record from Alexandria via LeMat-Bulk describes crystalline Ta2Cu5Pd12 at its relaxed geometry. The functional is PBE-GGA.

Cell lengths 7.6731, 7.0083, 6.6720 Å; angles 79.79, 90.00, 123.19 degrees
Closest atoms and distances in Å follow each position.
Fractional positions:
Pd1 0.8170 0.2049 0.5656  4 Cu 2.57-2.68, 4 Pd 2.67-2.86
Pd2 0.4224 0.4741 0.8206  2 Cu 2.59-2.67, 6 Pd 2.67-2.86, 1 Ta 2.81
Pd3 0.4387 0.8774 0.7716  2 Cu 2.52-2.69, 4 Pd 2.68-2.72, 2 Ta 2.72
Pd4 0.8819 0.7638 0.8477  2 Cu 2.44-2.67, 2 Ta 2.62
Pd5 0.0516 0.4741 0.8206  2 Cu 2.59-2.67, 6 Pd 2.67-2.86, 1 Ta 2.81
Pd6 0.6121 0.7951 0.4344  4 Cu 2.57-2.68, 4 Pd 2.67-2.86
Cu1 0.2181 0.4361 0.4902  2 Cu 2.45-2.54, 6 Pd 2.57-2.67
Cu2 0.7819 0.5639 0.5098  2 Cu 2.45-2.54, 6 Pd 2.57-2.67
Cu3 0.3459 0.6919 0.1491  1 Cu 2.45, 7 Pd 2.52-2.69
Pd7 0.3879 0.2049 0.5656  4 Cu 2.57-2.68, 4 Pd 2.67-2.86
Pd8 0.5776 0.5259 0.1794  2 Cu 2.59-2.67, 6 Pd 2.67-2.86, 1 Ta 2.81
Ta1 0.2370 0.0000 0.0000  8 Pd 2.62-2.92, 2 Cu 2.75
Pd9 0.1181 0.2362 0.1523  2 Cu 2.44-2.67, 2 Ta 2.62
Pd10 0.9484 0.5259 0.1794  2 Cu 2.59-2.67, 6 Pd 2.67-2.86, 1 Ta 2.81
Cu4 0.0000 0.0000 0.5000  6 Pd 2.44-2.58, 2 Cu 2.54
Ta2 0.7630 0.0000 0.0000  8 Pd 2.62-2.92, 2 Cu 2.75
Pd11 0.5613 0.1226 0.2284  2 Cu 2.52-2.69, 4 Pd 2.68-2.72, 2 Ta 2.72
Cu5 0.6541 0.3081 0.8509  1 Cu 2.45, 7 Pd 2.52-2.69
Pd12 0.1830 0.7951 0.4344  4 Cu 2.57-2.68, 4 Pd 2.67-2.86

Calculated values
The calculated density is 11.1 g cm⁻³. Its energy of formation from the pure elements is -0.054 eV/atom. As for the total magnetic moment: 0.00 μB per cell. Its space-group type is C2/m (12).

(7)
This record from Alexandria via LeMat-Bulk describes crystalline Tb2NdSmIn4 at its relaxed geometry. The functional is PBE-GGA.

Cell lengths 5.3886, 5.3886, 9.3465 Å; angles 73.25, 73.25, 60.00 degrees
Closest atoms and distances in Å follow each position.
Fractional positions:
In1 0.6245 0.6245 0.1265  1 Sm 3.29, 4 Tb 3.30-3.32, 3 Nd 3.30
Nd1 0.0000 0.0000 0.0000  8 In 3.30-3.32
In2 0.3755 0.3755 0.8735  1 Sm 3.29, 4 Tb 3.30-3.32, 3 Nd 3.30
Tb1 0.2500 0.2500 0.2501  8 In 3.29-3.32
In3 0.1255 0.1255 0.6234  4 Tb 3.29-3.30, 3 Sm 3.30, 1 Nd 3.32
In4 0.8745 0.8745 0.3766  4 Tb 3.29-3.30, 3 Sm 3.30, 1 Nd 3.32
Tb2 0.7500 0.7500 0.7499  8 In 3.29-3.32
Sm1 0.5000 0.5000 0.5000  8 In 3.29-3.30

Calculated values
The calculated density is 8.0 g cm⁻³. Its energy of formation from the pure elements is -0.483 eV/atom. As for the total magnetic moment: 0.00 μB per cell. Its space-group type is R-3m (166).

(8)
This record from Alexandria via LeMat-Bulk describes crystalline Dy2HoU at its relaxed geometry. The functional is PBE-GGA.

Cell lengths 3.2884, 3.2884, 12.3195 Å; angles 82.33, 82.33, 60.00 degrees
Closest atoms and distances in Å follow each position.
Fractional positions:
Ho1 0.5000 0.5000 0.5000  6 Ho 3.29, 6 Dy 3.46
U1 0.0000 0.0000 0.0000  2 Dy 3.19, 6 U 3.29
Dy1 0.0875 0.0875 0.7376  1 U 3.19, 6 Dy 3.29, 3 Ho 3.46
Dy2 0.9125 0.9125 0.2624  1 U 3.19, 6 Dy 3.29, 3 Ho 3.46

Calculated values
The calculated density is 10.6 g cm⁻³. Its energy of formation from the pure elements is 0.440 eV/atom. As for the total magnetic moment: 2.08 μB per cell. Its space-group type is R-3m (166).

(9)
This record from Alexandria via LeMat-Bulk describes crystalline Rb3BeF6 at its relaxed geometry. The functional is PBE-GGA.

Cell lengths 6.3339, 6.2086, 8.8900 Å; angles 90.00, 90.28, 90.00 degrees
Closest atoms and distances in Å follow each position.
Fractional positions:
F1 0.5471 0.4990 0.3031  1 Be 1.78
Rb1 0.4987 0.0158 0.2533  8 F 2.89-3.22
Be1 0.5000 0.5000 0.5000  6 F 1.77-1.78
Be2 0.0000 0.0000 0.0000  6 F 1.77-1.78
F2 0.2808 0.3264 0.4733  1 Be 1.77
Rb2 0.0013 0.5158 0.2467  8 F 2.89-3.22
Rb3 0.5013 0.9842 0.7467  8 F 2.89-3.22
F3 0.1683 0.2262 0.0217  1 Be 1.77
F4 0.8317 0.7738 0.9783  1 Be 1.77
F5 0.7192 0.6736 0.5267  1 Be 1.77
F6 0.6683 0.2738 0.5217  1 Be 1.77
F7 0.4529 0.5010 0.6969  1 Be 1.78
Rb4 0.0000 0.0000 0.5000  6 F 2.71
Rb5 0.9987 0.4842 0.7533  8 F 2.89-3.22
F8 0.0471 0.0010 0.8031  1 Be 1.78
F9 0.3317 0.7262 0.4783  1 Be 1.77
F10 0.9529 0.9990 0.1969  1 Be 1.78
Rb6 0.5000 0.5000 0.0000  6 F 2.71
F11 0.2192 0.8264 0.0267  1 Be 1.77
F12 0.7808 0.1736 0.9733  1 Be 1.77

Calculated values
The calculated density is 3.6 g cm⁻³. As for the total magnetic moment: 2.09 μB per cell. Its space-group type is P2_1/c (14). The uncorrected formation energy is -25.32 eV per formula unit. As for the polymorph energy (0 for the lowest one): 0 meV per atom.

(10)
This record from Alexandria via LeMat-Bulk describes crystalline YThPa at its relaxed geometry. The functional is PBE-GGA.

Cell lengths 3.3862, 3.3862, 8.1142 Å; angles 102.04, 102.04, 90.00 degrees
Closest atoms and distances in Å follow each position.
Fractional positions:
Th1 0.6745 0.6745 0.3490  4 Th 3.39, 4 Pa 3.41, 4 Y 3.68
Pa1 0.3315 0.3315 0.6631  4 Pa 3.39, 4 Th 3.41, 4 Y 3.47
Y1 0.9939 0.9939 0.9879  4 Y 3.39, 4 Pa 3.47, 4 Th 3.68

Calculated values
The calculated density is 10.3 g cm⁻³. Its energy of formation from the pure elements is 0.158 eV/atom. As for the total magnetic moment: 0.00 μB per cell. Its space-group type is I4mm (107). As for the polymorph energy (0 for the lowest one): 0 meV per atom.

(11)
This record from Alexandria via LeMat-Bulk describes crystalline Cs3SnAs at its relaxed geometry. The functional is PBE-GGA.

Cell lengths 7.3138, 7.3138, 7.3138 Å; angles 90.00, 90.00, 90.00 degrees
Closest atoms and distances in Å follow each position.
Fractional positions:
Cs1 0.0000 0.0000 0.5000  2 Sn 3.66
Cs2 0.0000 0.5000 0.0000  2 Sn 3.66
As1 0.5000 0.5000 0.5000  12 Cs 5.17
Cs3 0.5000 0.0000 0.0000  2 Sn 3.66
Sn1 0.0000 0.0000 0.0000  6 Cs 3.66

Calculated values
The calculated density is 2.5 g cm⁻³. Its energy of formation from the pure elements is 0.384 eV/atom. As for the total magnetic moment: 3.56 μB per cell. Its space-group type is Pm-3m (221). As for the polymorph energy (0 for the lowest one): 604 meV per atom.

(12)
This record from Alexandria via LeMat-Bulk describes crystalline InCu2Hg2 at its relaxed geometry. The functional is PBE-GGA.

Cell lengths 7.1423, 7.1423, 3.7420 Å; angles 90.00, 90.00, 90.00 degrees
Closest atoms and distances in Å follow each position.
Fractional positions:
In1 0.5000 0.5000 0.0000  4 Cu 2.80
Hg1 0.3341 0.1659 0.5000  6 Cu 2.79-2.83
In2 0.0000 0.0000 0.0000  4 Cu 2.80
Cu1 0.6292 0.1292 0.0000  1 Cu 2.61, 6 Hg 2.79-2.83, 2 In 2.80
Hg2 0.1659 0.6659 0.5000  6 Cu 2.79-2.83
Hg3 0.6659 0.8341 0.5000  6 Cu 2.79-2.83
Hg4 0.8341 0.3341 0.5000  6 Cu 2.79-2.83
Cu2 0.8708 0.6292 0.0000  1 Cu 2.61, 6 Hg 2.79-2.83, 2 In 2.80
Cu3 0.3708 0.8708 0.0000  1 Cu 2.61, 6 Hg 2.79-2.83, 2 In 2.80
Cu4 0.1292 0.3708 0.0000  1 Cu 2.61, 6 Hg 2.79-2.83, 2 In 2.80

Calculated values
The calculated density is 11.2 g cm⁻³. Its energy of formation from the pure elements is 0.152 eV/atom. As for the total magnetic moment: 0.00 μB per cell. Its space-group type is P4/mbm (127). As for the polymorph energy (0 for the lowest one): 0 meV per atom.